No. 1
Zr4ZnPt after structural relaxation. Source: Alexandria via LeMat-Bulk, functional PBE.

```
data_Zr4ZnPt
_cell_length_a 7.923
_cell_length_b 7.923
_cell_length_c 7.923
_cell_angle_alpha 90.00
_cell_angle_beta 90.00
_cell_angle_gamma 90.00
_symmetry_space_group_name_H-M 'F -4 3 m'
_symmetry_Int_Tables_number 216
_symmetry_space_group_name_Hall 'F -4 2 3'
loop_
_atom_site_label
_atom_site_type_symbol
_atom_site_fract_x
_atom_site_fract_y
_atom_site_fract_z
_atom_site_occupancy
Zr1 Zr 0.125 0.125 0.125 1
Zn1 Zn 0.000 0.000 0.500 1
Pt1 Pt 0.250 0.250 0.750 1
```

Output
offset from the most stable computed form	0.6627	eV/atom

---

No. 2
Zr4Zn5Pt6 after structural relaxation. Source: Alexandria via LeMat-Bulk, functional PBE.

```
data_Zr4Zn5Pt6
_cell_length_a 3.615
_cell_length_b 21.163
_cell_length_c 13.995
_cell_angle_alpha 90.00
_cell_angle_beta 90.00
_cell_angle_gamma 90.00
_symmetry_space_group_name_H-M 'C m c 21'
_symmetry_Int_Tables_number 36
_symmetry_space_group_name_Hall 'C 2c -2'
loop_
_atom_site_label
_atom_site_type_symbol
_atom_site_fract_x
_atom_site_fract_y
_atom_site_fract_z
_atom_site_occupancy
Zr1 Zr 0.000 0.021 0.000 1
Zr2 Zr 0.000 0.055 0.266 1
Zr3 Zr 0.000 0.135 0.775 1
Zr4 Zr 0.000 0.179 0.441 1
Zn1 Zn 0.000 0.187 0.129 1
Zn2 Zn 0.000 0.309 0.112 1
Zn3 Zn 0.000 0.329 0.772 1
Zn4 Zn 0.000 0.359 0.451 1
Zn5 Zn 0.000 0.469 0.159 1
Pt1 Pt 0.000 0.100 0.587 1
Pt2 Pt 0.000 0.228 0.955 1
Pt3 Pt 0.000 0.265 0.287 1
Pt4 Pt 0.000 0.408 0.620 1
Pt5 Pt 0.000 0.420 0.920 1
Pt6 Pt 0.000 0.459 0.345 1
```

---

No. 3
Zr4Zn3Pt after structural relaxation. Source: Alexandria via LeMat-Bulk, functional PBE.

```
data_Zr4Zn3Pt
_cell_length_a 3.386
_cell_length_b 4.252
_cell_length_c 10.652
_cell_angle_alpha 90.00
_cell_angle_beta 90.00
_cell_angle_gamma 90.00
_symmetry_space_group_name_H-M 'P m m 2'
_symmetry_Int_Tables_number 25
_symmetry_space_group_name_Hall 'P 2 -2'
loop_
_atom_site_label
_atom_site_type_symbol
_atom_site_fract_x
_atom_site_fract_y
_atom_site_fract_z
_atom_site_occupancy
Zr1 Zr 0.000 0.000 0.000 1
Zr2 Zr 0.000 0.500 0.304 1
Zr3 Zr 0.500 0.000 0.496 1
Zr4 Zr 0.500 0.500 0.812 1
Zn1 Zn 0.000 0.000 0.725 1
Zn2 Zn 0.000 0.500 0.579 1
Zn3 Zn 0.500 0.500 0.076 1
Pt1 Pt 0.500 0.000 0.229 1
```

---

No. 4
ZrZn5Pt after structural relaxation. Source: Alexandria via LeMat-Bulk, functional PBE.

```
data_ZrZn5Pt
_cell_length_a 4.347
_cell_length_b 4.347
_cell_length_c 6.368
_cell_angle_alpha 90.00
_cell_angle_beta 90.00
_cell_angle_gamma 90.00
_symmetry_space_group_name_H-M 'P 4/m m m'
_symmetry_Int_Tables_number 123
_symmetry_space_group_name_Hall '-P 4 2'
loop_
_atom_site_label
_atom_site_type_symbol
_atom_site_fract_x
_atom_site_fract_y
_atom_site_fract_z
_atom_site_occupancy
Zr1 Zr 0.000 0.000 0.000 1
Zn1 Zn 0.000 0.500 0.284 1
Zn2 Zn 0.500 0.500 0.000 1
Pt1 Pt 0.000 0.000 0.500 1
```

---

No. 5
Zr2Zn3Pt4 after structural relaxation. Source: Alexandria via LeMat-Bulk, functional PBE.

```
data_Zr2Zn3Pt4
_cell_length_a 8.854
_cell_length_b 4.113
_cell_length_c 8.522
_cell_angle_alpha 90.00
_cell_angle_beta 108.34
_cell_angle_gamma 90.00
_symmetry_space_group_name_H-M 'C 1 2/m 1'
_symmetry_Int_Tables_number 12
_symmetry_space_group_name_Hall '-C 2y'
loop_
_atom_site_label
_atom_site_type_symbol
_atom_site_fract_x
_atom_site_fract_y
_atom_site_fract_z
_atom_site_occupancy
Zr1 Zr 0.183 0.000 0.226 1
Zn1 Zn 0.000 0.500 0.000 1
Zn2 Zn 0.148 0.000 0.557 1
Pt1 Pt 0.028 0.500 0.338 1
Pt2 Pt 0.156 0.000 0.890 1
```

Output
offset from the most stable computed form	0.0000	eV/atom

---

No. 6
Zr4ZnPt after structural relaxation. Source: Alexandria via LeMat-Bulk, functional PBE.

```
data_Zr4ZnPt
_cell_length_a 6.660
_cell_length_b 14.836
_cell_length_c 5.281
_cell_angle_alpha 90.00
_cell_angle_beta 90.00
_cell_angle_gamma 90.00
_symmetry_space_group_name_H-M 'C c c m'
_symmetry_Int_Tables_number 66
_symmetry_space_group_name_Hall '-C 2 2c'
loop_
_atom_site_label
_atom_site_type_symbol
_atom_site_fract_x
_atom_site_fract_y
_atom_site_fract_z
_atom_site_occupancy
Zr1 Zr 0.142 0.153 0.000 1
Zr2 Zr 0.148 0.429 0.500 1
Zn1 Zn 0.250 0.250 0.500 1
Pt1 Pt 0.000 0.000 0.250 1
```

Output
offset from the most stable computed form	0.2034	eV/atom

---

No. 7
ZrZnPt2 after structural relaxation. Source: Alexandria via LeMat-Bulk, functional PBE.

```
data_ZrZnPt2
_cell_length_a 3.546
_cell_length_b 3.546
_cell_length_c 5.536
_cell_angle_alpha 90.00
_cell_angle_beta 90.00
_cell_angle_gamma 90.00
_symmetry_space_group_name_H-M 'P 4 m m'
_symmetry_Int_Tables_number 99
_symmetry_space_group_name_Hall 'P 4 -2'
loop_
_atom_site_label
_atom_site_type_symbol
_atom_site_fract_x
_atom_site_fract_y
_atom_site_fract_z
_atom_site_occupancy
Zr1 Zr 0.000 0.000 0.000 1
Zn1 Zn 0.500 0.500 0.686 1
Pt1 Pt 0.000 0.000 0.515 1
Pt2 Pt 0.500 0.500 0.205 1
```

---

No. 8
Zr3Zn2Pt3 after structural relaxation. Source: Alexandria via LeMat-Bulk, functional PBE.

```
data_Zr3Zn2Pt3
_cell_length_a 7.9968
_cell_length_b 7.9968
_cell_length_c 5.2788
_cell_angle_alpha 90.00
_cell_angle_beta 90.00
_cell_angle_gamma 120.00
_symmetry_space_group_name_H-M 'P 63/m c m'
_symmetry_Int_Tables_number 193
_symmetry_space_group_name_Hall '-P 6c 2'
loop_
_atom_site_label
_atom_site_type_symbol
_atom_site_fract_x
_atom_site_fract_y
_atom_site_fract_z
_atom_site_occupancy
Zr1 Zr 0.0000 0.2581 0.2500 1
Zn1 Zn 0.3333 0.6667 0.0000 1
Pt1 Pt 0.0000 0.3924 0.7500 1
```

---

No. 9
ZrZn3Pt2 after structural relaxation. Source: Alexandria via LeMat-Bulk, functional PBE.

```
data_ZrZn3Pt2
_cell_length_a 3.681
_cell_length_b 6.791
_cell_length_c 8.661
_cell_angle_alpha 68.58
_cell_angle_beta 77.79
_cell_angle_gamma 89.95
_symmetry_space_group_name_H-M 'P -1'
_symmetry_Int_Tables_number 2
_symmetry_space_group_name_Hall '-P 1'
loop_
_atom_site_label
_atom_site_type_symbol
_atom_site_fract_x
_atom_site_fract_y
_atom_site_fract_z
_atom_site_occupancy
Zr1 Zr 0.115 0.132 0.275 1
Zn1 Zn 0.079 0.636 0.347 1
Zn2 Zn 0.307 0.102 0.885 1
Zn3 Zn 0.362 0.527 0.773 1
Pt1 Pt 0.246 0.680 0.010 1
Pt2 Pt 0.478 0.185 0.535 1
```

---

No. 10
ZrZnPt2 after structural relaxation. Source: Alexandria via LeMat-Bulk, functional PBE.

```
data_ZrZnPt2
_cell_length_a 4.736
_cell_length_b 5.718
_cell_length_c 4.897
_cell_angle_alpha 90.00
_cell_angle_beta 90.00
_cell_angle_gamma 90.00
_symmetry_space_group_name_H-M 'P m m n'
_symmetry_Int_Tables_number 59
loop_
_symmetry_equiv_pos_as_xyz
'x,y,z'
'-x,-y,-z'
'-x+1/2,-y+1/2,z'
'x+1/2,y+1/2,-z'
'x+1/2,-y,-z'
'-x+1/2,y,z'
'-x,y+1/2,-z'
'x,-y+1/2,z'
loop_
_atom_site_label
_atom_site_type_symbol
_atom_site_fract_x
_atom_site_fract_y
_atom_site_fract_z
_atom_site_occupancy
Zr1 Zr 0.250 0.250 0.164 1
Zn1 Zn 0.250 0.750 0.201 1
Pt1 Pt 0.250 0.501 0.682 1
```

---

No. 11
Zr2Pt3 after structural relaxation. Source: Alexandria via LeMat-Bulk, functional PBE.

```
data_Zr2Pt3
_cell_length_a 3.8165
_cell_length_b 3.8165
_cell_length_c 24.3381
_cell_angle_alpha 90.00
_cell_angle_beta 90.00
_cell_angle_gamma 120.00
_symmetry_space_group_name_H-M 'R -3 m'
_symmetry_Int_Tables_number 166
_symmetry_space_group_name_Hall '-R 3 2"'
loop_
_atom_site_label
_atom_site_type_symbol
_atom_site_fract_x
_atom_site_fract_y
_atom_site_fract_z
_atom_site_occupancy
Zr1 Zr 0.0000 0.0000 0.0960 1
Pt1 Pt 0.0000 0.0000 0.3006 1
Pt2 Pt 0.0000 0.0000 0.5000 1
```

Output
offset from the most stable computed form	0.3384	eV/atom

---

No. 12
Zr5Pt after structural relaxation. Source: Alexandria via LeMat-Bulk, functional PBE.

```
data_Zr5Pt
_cell_length_a 3.348
_cell_length_b 3.348
_cell_length_c 11.604
_cell_angle_alpha 90.00
_cell_angle_beta 90.00
_cell_angle_gamma 90.00
_symmetry_space_group_name_H-M 'P 4/m m m'
_symmetry_Int_Tables_number 123
_symmetry_space_group_name_Hall '-P 4 2'
loop_
_atom_site_label
_atom_site_type_symbol
_atom_site_fract_x
_atom_site_fract_y
_atom_site_fract_z
_atom_site_occupancy
Zr1 Zr 0.000 0.000 0.000 1
Zr2 Zr 0.000 0.000 0.357 1
Zr3 Zr 0.500 0.500 0.181 1
Pt1 Pt 0.500 0.500 0.500 1
```

Output
offset from the most stable computed form	0.0000	eV/atom

---

No. 13
ZrPt2 after structural relaxation. Source: Alexandria via LeMat-Bulk, functional PBE.

```
data_ZrPt2
_cell_length_a 3.924
_cell_length_b 3.924
_cell_length_c 3.932
_cell_angle_alpha 90.00
_cell_angle_beta 90.00
_cell_angle_gamma 90.00
_symmetry_space_group_name_H-M 'P 4/m m m'
_symmetry_Int_Tables_number 123
_symmetry_space_group_name_Hall '-P 4 2'
loop_
_atom_site_label
_atom_site_type_symbol
_atom_site_fract_x
_atom_site_fract_y
_atom_site_fract_z
_atom_site_occupancy
Zr1 Zr 0.000 0.000 0.000 1
Pt1 Pt 0.000 0.500 0.500 1
```

---

No. 14
ZrPt2 after structural relaxation. Source: Alexandria via LeMat-Bulk, functional PBE.

```
data_ZrPt2
_cell_length_a 6.305
_cell_length_b 6.305
_cell_length_c 6.305
_cell_angle_alpha 90.00
_cell_angle_beta 90.00
_cell_angle_gamma 90.00
_symmetry_space_group_name_H-M 'F m -3 m'
_symmetry_Int_Tables_number 225
_symmetry_space_group_name_Hall '-F 4 2 3'
loop_
_atom_site_label
_atom_site_type_symbol
_atom_site_fract_x
_atom_site_fract_y
_atom_site_fract_z
_atom_site_occupancy
Zr1 Zr 0.000 0.000 0.000 1
Pt1 Pt 0.250 0.250 0.250 1
```

---

No. 15
ZrPt2 after structural relaxation. Source: Alexandria via LeMat-Bulk, functional PBE.

```
data_ZrPt2
_cell_length_a 4.6130
_cell_length_b 4.6130
_cell_length_c 2.8453
_cell_angle_alpha 90.00
_cell_angle_beta 90.00
_cell_angle_gamma 120.00
_symmetry_space_group_name_H-M 'P -3 m 1'
_symmetry_Int_Tables_number 164
_symmetry_space_group_name_Hall '-P 3 2"'
loop_
_atom_site_label
_atom_site_type_symbol
_atom_site_fract_x
_atom_site_fract_y
_atom_site_fract_z
_atom_site_occupancy
Zr1 Zr 0.0000 0.0000 0.0000 1
Pt1 Pt 0.3333 0.6667 0.6686 1
```

---

No. 16
Zr4Pt after structural relaxation. Source: Alexandria via LeMat-Bulk, functional PBE.

```
data_Zr4Pt
_cell_length_a 5.097
_cell_length_b 5.097
_cell_length_c 5.097
_cell_angle_alpha 90.00
_cell_angle_beta 90.00
_cell_angle_gamma 90.00
_symmetry_space_group_name_H-M 'P m -3 m'
_symmetry_Int_Tables_number 221
_symmetry_space_group_name_Hall '-P 4 2 3'
loop_
_atom_site_label
_atom_site_type_symbol
_atom_site_fract_x
_atom_site_fract_y
_atom_site_fract_z
_atom_site_occupancy
Zr1 Zr 0.000 0.000 0.000 1
Zr2 Zr 0.000 0.500 0.500 1
Pt1 Pt 0.500 0.500 0.500 1
```

Output
offset from the most stable computed form	0.6710	eV/atom

---

No. 17
ZrPt2 after structural relaxation. Source: Alexandria via LeMat-Bulk, functional PBE.

```
data_ZrPt2
_cell_length_a 4.060
_cell_length_b 4.060
_cell_length_c 25.285
_cell_angle_alpha 90.00
_cell_angle_beta 90.00
_cell_angle_gamma 90.00
_symmetry_space_group_name_H-M 'I 41/a m d'
_symmetry_Int_Tables_number 141
loop_
_symmetry_equiv_pos_as_xyz
'x,y,z'
'-x,-y,-z'
'-y+1/4,x+3/4,z+1/4'
'y+1/4,-x+3/4,-z+1/4'
'-x+1/2,-y,z+1/2'
'x+1/2,y,-z+1/2'
'y+1/4,-x+1/4,z+3/4'
'-y+1/4,x+1/4,-z+3/4'
'x,-y,-z'
'-x,y,z'
'-y+1/4,-x+1/4,-z+3/4'
'y+1/4,x+1/4,z+3/4'
'-x+1/2,y,-z+1/2'
'x+1/2,-y,z+1/2'
'y+1/4,x+3/4,-z+1/4'
'-y+1/4,-x+3/4,z+1/4'
'x+1/2,y+1/2,z+1/2'
'-x+1/2,-y+1/2,-z+1/2'
'-y+3/4,x+1/4,z+3/4'
'y+3/4,-x+1/4,-z+3/4'
'-x,-y+1/2,z'
'x,y+1/2,-z'
'y+3/4,-x+3/4,z+1/4'
'-y+3/4,x+3/4,-z+1/4'
'x+1/2,-y+1/2,-z+1/2'
'-x+1/2,y+1/2,z+1/2'
'-y+3/4,-x+3/4,-z+1/4'
'y+3/4,x+3/4,z+1/4'
'-x,y+1/2,-z'
'x,-y+1/2,z'
'y+3/4,x+1/4,-z+3/4'
'-y+3/4,-x+1/4,z+3/4'
loop_
_atom_site_label
_atom_site_type_symbol
_atom_site_fract_x
_atom_site_fract_y
_atom_site_fract_z
_atom_site_occupancy
Zr1 Zr 0.000 0.250 0.298 1
Pt1 Pt 0.000 0.250 0.127 1
Pt2 Pt 0.000 0.250 0.790 1
```

---

No. 18
Zr3Pt4 after structural relaxation. Source: Alexandria via LeMat-Bulk, functional PBE.

```
data_Zr3Pt4
_cell_length_a 12.6880
_cell_length_b 12.6880
_cell_length_c 5.5792
_cell_angle_alpha 90.00
_cell_angle_beta 90.00
_cell_angle_gamma 120.00
_symmetry_space_group_name_H-M 'R -3'
_symmetry_Int_Tables_number 148
_symmetry_space_group_name_Hall '-R 3'
loop_
_atom_site_label
_atom_site_type_symbol
_atom_site_fract_x
_atom_site_fract_y
_atom_site_fract_z
_atom_site_occupancy
Zr1 Zr 0.0438 0.2164 0.2269 1
Pt1 Pt 0.0000 0.0000 0.0000 1
Pt2 Pt 0.0000 0.0000 0.5000 1
Pt3 Pt 0.0542 0.2700 0.7105 1
```

Output
offset from the most stable computed form	0.0000	eV/atom

---

No. 19
Zr5Pt3 after structural relaxation. Source: Alexandria via LeMat-Bulk, functional PBE.

```
data_Zr5Pt3
_cell_length_a 8.3083
_cell_length_b 8.3083
_cell_length_c 5.3885
_cell_angle_alpha 90.00
_cell_angle_beta 90.00
_cell_angle_gamma 120.00
_symmetry_space_group_name_H-M 'P 63/m c m'
_symmetry_Int_Tables_number 193
_symmetry_space_group_name_Hall '-P 6c 2'
loop_
_atom_site_label
_atom_site_type_symbol
_atom_site_fract_x
_atom_site_fract_y
_atom_site_fract_z
_atom_site_occupancy
Zr1 Zr 0.0000 0.2458 0.2500 1
Zr2 Zr 0.3333 0.6667 0.0000 1
Pt1 Pt 0.0000 0.3954 0.7500 1
```

Output
offset from the most stable computed form	0.0000	eV/atom

---

No. 20
Zr5Pt after structural relaxation. Source: Alexandria via LeMat-Bulk, functional PBE.

```
data_Zr5Pt
_cell_length_a 10.959
_cell_length_b 3.278
_cell_length_c 7.741
_cell_angle_alpha 90.00
_cell_angle_beta 108.23
_cell_angle_gamma 90.00
_symmetry_space_group_name_H-M 'C 1 m 1'
_symmetry_Int_Tables_number 8
_symmetry_space_group_name_Hall 'C -2y'
loop_
_atom_site_label
_atom_site_type_symbol
_atom_site_fract_x
_atom_site_fract_y
_atom_site_fract_z
_atom_site_occupancy
Zr1 Zr 0.000 0.000 0.000 1
Zr2 Zr 0.025 0.000 0.416 1
Zr3 Zr 0.160 0.500 0.773 1
Zr4 Zr 0.227 0.500 0.284 1
Zr5 Zr 0.359 0.000 0.642 1
Pt1 Pt 0.308 0.000 0.049 1
```

Output
offset from the most stable computed form	0.0136	eV/atom

---

Total DFT energy (no corrections): -6.72, -5.84, -5.93, -3.37, -5.78, -7.17, -6.16, -6.62, -4.65, -6.38, -7.72, -8.47, -7.56, -7.52, -7.66, -7.80, -7.82, -8.18, -8.43, -8.45 (eV per atom)
Energy relative to the elements: 202, -716, -422, -378, -768, -257, -688, -827, -571, -900, -678, -336, -680, -639, -783, 251, -948, -1065, -824, -322 (meV/atom)